Cr4TcGe: relaxed, PBE.

Summary:
The value obtained for the electronic total energy is -8.77 eV/atom. Its total magnetization is 0.0 μB per formula unit. Its space group is No. 216. As for the energy of formation from the pure elements: 0.140 eV per atom.

Unit cell a=4.7528 b=4.7528 c=4.7528 alpha=60.00 beta=60.00 gamma=60.00
Sites, in units of the cell vectors:
Tc 0.0000 0.0000 0.0000
Ge 0.2500 0.2500 0.2500
Cr 0.6233 0.6233 0.1301
Cr 0.6233 0.6233 0.6233
Cr 0.6233 0.1301 0.6233
Cr 0.1301 0.6233 0.6233